A plane-wave DFT calculation with SCAN was carried out for a PBEsol-optimized structure of BeGa3O.

Cell: 4.2806 4.2806 4.2806 Å, 90.00 90.00 90.00°
Closest atoms and distances in Å follow each position.
Space group Pm-3m (No. 221)
Unique sites:
Be1 0.0000 0.0000 0.0000  12 Ga 3.03
Ga1 0.0000 0.5000 0.5000  2 O 2.14
O1 0.5000 0.5000 0.5000  6 Ga 2.14

Properties
For the uncorrected formation energy, the calculation gives 0.257 eV/atom.

---

A plane-wave DFT calculation with SCAN was carried out for a PBEsol-optimized structure of Li3CuOF3.

Cell: 2.7706 2.7706 8.9244 Å, 90.00 90.00 90.00°
Closest atoms and distances in Å follow each position.
Space group P4/mmm (No. 123)
Unique sites:
Li1 0.0000 0.0000 0.0000  6 F 1.96-2.02
Li2 0.5000 0.5000 0.2286  5 F 1.96-2.04
Cu1 0.0000 0.0000 0.5000  4 O 1.96
O1 0.5000 0.5000 0.5000  4 Cu 1.96
F1 0.0000 0.0000 0.2265  5 Li 1.96-2.02
F2 0.5000 0.5000 0.0000  6 Li 1.96-2.04

Properties
For the uncorrected formation energy, the calculation gives -2.505 eV/atom.

---

A plane-wave DFT calculation with SCAN was carried out for a PBEsol-optimized structure of CdWN2O.

Cell: 3.9830 3.9830 3.8316 Å, 90.00 90.00 90.00°
Closest atoms and distances in Å follow each position.
Space group P4/mmm (No. 123)
Unique sites:
Cd1 0.0000 0.0000 0.0000  8 N 2.76, 4 O 2.82
W1 0.5000 0.5000 0.5000  2 O 1.92, 4 N 1.99
N1 0.0000 0.5000 0.5000  2 W 1.99
O1 0.5000 0.5000 0.0000  2 W 1.92

Properties
For the uncorrected formation energy, the calculation gives -0.400 eV/atom.

---

A plane-wave DFT calculation with SCAN was carried out for a PBEsol-optimized structure of YSbRh2.

Cell: 9.6324 3.5521 4.4093 Å, 90.00 104.91 90.00°
Closest atoms and distances in Å follow each position.
Space group Cm (No. 8)
Unique sites:
Y1 0.0000 0.0000 0.0000  7 Rh 2.74-2.86
Sb1 0.2408 0.0000 0.6250  7 Rh 2.76-2.90
Rh1 0.0141 0.5000 0.5168  3 Sb 2.76-2.79, 4 Y 2.80-2.86, 2 Rh 3.04-3.05
Rh2 0.2398 0.5000 0.1441  3 Y 2.74-2.85, 4 Sb 2.76-2.90, 2 Rh 3.04-3.05

Properties
For the uncorrected formation energy, the calculation gives -0.742 eV/atom.